Entry 1:
Crystalline Cs2KHgF6 at its relaxed geometry. Source: Alexandria, functional PBE-GGA.

POSCAR file:
```
Cs2KHgF6
1.0
-2.317 -2.305 5.918
-0.708 -6.167 -2.679
2.948 -5.322 2.942
Cs K Hg F
2 1 1 6
direct
0.750 0.250 0.500 Cs
0.250 0.750 0.500 Cs
0.500 0.500 0.000 K
0.000 0.000 0.000 Hg
0.232 0.232 0.535 F
0.768 0.768 0.465 F
0.232 0.232 0.000 F
0.768 0.768 0.000 F
0.768 0.232 0.000 F
0.232 0.768 0.000 F
```

Properties
M_tot: 1.0 μB per cell
E_form (uncorrected): -2.1736 eV per atom
Space group: I4/mmm (139)
E above lowest polymorph: 0.000 eV/atom



Entry 2:
Crystalline Pm2DyEr at its relaxed geometry. Source: Alexandria, functional PBE-GGA.

POSCAR file:
```
Pm2DyEr
1.0
3.590 0.000 0.000
1.795 3.109 0.000
1.795 1.036 11.638
Dy Pm Er
1 2 1
direct
0.500 0.500 0.500 Dy
0.750 0.750 0.751 Pm
0.250 0.250 0.249 Pm
0.000 0.000 0.000 Er
```

Properties
M_tot: 0.0 μB per cell
E_form: 14 meV per atom
Space group: R-3m (166)
E above lowest polymorph: 0.000 eV/atom



Entry 3:
Crystalline TlHg4Mo at its relaxed geometry. Source: Alexandria, functional PBE-GGA.

POSCAR file:
```
TlHg4Mo
1.0
4.501 -2.232 3.217
-1.136 -3.106 4.966
0.949 -5.889 0.117
Tl Hg Mo
1 4 1
direct
0.000 0.000 0.000 Tl
0.874 0.375 0.375 Hg
0.375 0.375 0.874 Hg
0.375 0.874 0.375 Hg
0.375 0.375 0.375 Hg
0.750 0.750 0.750 Mo
```

Properties
M_tot: 4.2 μB per cell
E_form: 663 meV per atom
Space group: F-43m (216)



Entry 4:
Crystalline SrOs2 at its relaxed geometry. Source: Alexandria, functional PBE-GGA.

POSCAR file:
```
SrOs2
1.0
2.904 -0.550 4.824
-5.428 -1.448 -0.674
2.662 -3.614 -3.444
Sr Os
2 4
direct
0.250 0.250 0.000 Sr
0.750 0.750 0.000 Sr
0.386 0.114 0.500 Os
0.614 0.886 0.500 Os
0.114 0.614 0.727 Os
0.886 0.386 0.273 Os
```

Properties
M_tot: 1.9 μB per cell
E_form: 1923 meV per atom
Space group: I4/mcm (140)



Look up the M_tot of the fourth one.
1.9 μB per cell